First-principles (PBE) data for a relaxed structure of KRbB2H8, as listed in Alexandria.

- N(E_F): 0.00 states/eV/f.u.
- Calculated volume: 152.2 Å³ per cell
- Total energy: -47.11 eV/cell
- SG: P-3m1

POSCAR file:
```
KRbB2H8
1.0
-0.239 -4.675 -0.105
1.956 2.163 3.664
-7.133 0.282 3.641
H B Rb K
8 2 1 1
direct
0.046 0.523 0.698
0.477 0.523 0.698
0.667 0.333 0.099
0.954 0.477 0.302
0.333 0.667 0.901
0.523 0.046 0.302
0.523 0.477 0.302
0.477 0.954 0.698
0.667 0.333 0.253
0.333 0.667 0.747
0.000 0.000 0.000
0.000 0.000 0.500
```